Material: AlCd2Tc
Method: DFT, PBE
State: optimized geometry

Cell lengths 4.9276, 4.9276, 5.3661 Å; angles 99.02, 99.02, 33.78 degrees
Fractional coordinates of all 4 atoms:
Al1 0.0000 0.0000 0.0000
Cd1 0.2425 0.2425 0.7010
Cd2 0.4833 0.4833 0.4553
Tc1 0.7352 0.7352 0.1771

Computed properties:
Symmetry   Cm
Energy relative to the elements   0.21 eV per atom